Entry from Alexandria: BaBeRh2 at its PBEsol-relaxed geometry (SCAN).

```
4
Lattice="2.1346 -2.1541 0.0000 2.1346 2.1541 0.0000 0.0000 0.0000 7.2362" Properties=species:S:1:pos:R:3 pbc="T T T"
Ba 0.0000 0.0000 0.0000
Be 0.0000 0.0000 3.6181
Rh 2.1346 0.0000 2.3534
Rh 2.1346 0.0000 4.8828
```

Calculated values
energy of formation from the pure elements	0.1056	eV per atom
total energy	-27.7561	eV/atom